No. 1
# TaCrRe3 PBE-GGA relaxed
# - calculated volume (Å³/atom) = 17.287
# - VASP energy (eV/cell) = -52.50
data_TaCrRe3
_chemical_formula_sum 'Ta1 Cr1 Re3'
_symmetry_space_group_name_H-M 'P m -3 m'
_symmetry_Int_Tables_number 221
_symmetry_space_group_name_Hall '-P 4 2 3'
_cell_length_a 4.421
_cell_length_b 4.421
_cell_length_c 4.421
_cell_angle_alpha 90.00
_cell_angle_beta 90.00
_cell_angle_gamma 90.00
loop_
_atom_site_label
_atom_site_fract_x
_atom_site_fract_y
_atom_site_fract_z
Ta1 0.000 0.000 0.000
Cr1 0.500 0.500 0.500
Re1 0.000 0.500 0.500

---

No. 2
# TaCr2Re PBE-GGA relaxed
# - calculated volume (Å³/atom) = 14.134
# - VASP energy (eV/cell) = -87.50
data_TaCr2Re
_chemical_formula_sum 'Ta2 Cr4 Re2'
_symmetry_space_group_name_H-M 'I m m 2'
_symmetry_Int_Tables_number 44
_symmetry_space_group_name_Hall 'I 2 -2'
_cell_length_a 3.041
_cell_length_b 4.307
_cell_length_c 8.632
_cell_angle_alpha 90.00
_cell_angle_beta 90.00
_cell_angle_gamma 90.00
loop_
_atom_site_label
_atom_site_fract_x
_atom_site_fract_y
_atom_site_fract_z
Ta1 0.000 0.000 0.000
Cr1 0.000 0.000 0.495
Cr2 0.000 0.500 0.753
Re1 0.000 0.500 0.241

---

No. 3
# TaCr2Re PBE-GGA relaxed
# - calculated volume (Å³/atom) = 14.171
# - VASP energy (eV/cell) = -43.75
data_TaCr2Re
_chemical_formula_sum 'Ta1 Cr2 Re1'
_symmetry_space_group_name_H-M 'P 4 m m'
_symmetry_Int_Tables_number 99
_symmetry_space_group_name_Hall 'P 4 -2'
_cell_length_a 3.044
_cell_length_b 3.044
_cell_length_c 6.118
_cell_angle_alpha 90.00
_cell_angle_beta 90.00
_cell_angle_gamma 90.00
loop_
_atom_site_label
_atom_site_fract_x
_atom_site_fract_y
_atom_site_fract_z
Ta1 0.000 0.000 0.000
Cr1 0.000 0.000 0.481
Cr2 0.500 0.500 0.254
Re1 0.500 0.500 0.721

---

Please write out number 1 again, unchanged.
# TaCrRe3 PBE-GGA relaxed
# - calculated volume (Å³/atom) = 17.287
# - VASP energy (eV/cell) = -52.50
data_TaCrRe3
_chemical_formula_sum 'Ta1 Cr1 Re3'
_symmetry_space_group_name_H-M 'P m -3 m'
_symmetry_Int_Tables_number 221
_symmetry_space_group_name_Hall '-P 4 2 3'
_cell_length_a 4.421
_cell_length_b 4.421
_cell_length_c 4.421
_cell_angle_alpha 90.00
_cell_angle_beta 90.00
_cell_angle_gamma 90.00
loop_
_atom_site_label
_atom_site_fract_x
_atom_site_fract_y
_atom_site_fract_z
Ta1 0.000 0.000 0.000
Cr1 0.500 0.500 0.500
Re1 0.000 0.500 0.500

---

- Which of these has the highest VASP energy?
  number 3

---

- Look up the VASP energy of the third one.
  -43.75 eV/cell

---

- Among the records above, which one has the lowest VASP energy?
  number 2